Density functional theory data (PBE) for a relaxed structure of CeMgInAg.

Geometry as CIF:
```
data_CeMgInAg
_chemical_formula_sum 'Ce4 Mg4 In4 Ag4'
_symmetry_space_group_name_H-M 'F -4 3 m'
_symmetry_Int_Tables_number 216
_symmetry_space_group_name_Hall 'F -4 2 3'
_cell_length_a 7.273
_cell_length_b 7.273
_cell_length_c 7.273
_cell_angle_alpha 90.00
_cell_angle_beta 90.00
_cell_angle_gamma 90.00
loop_
_atom_site_label
_atom_site_type_symbol
_atom_site_fract_x
_atom_site_fract_y
_atom_site_fract_z
_atom_site_occupancy
Ce1 Ce 0.000 0.000 0.000 1
Mg1 Mg 0.000 0.000 0.500 1
In1 In 0.250 0.250 0.750 1
Ag1 Ag 0.250 0.250 0.250 1
```

Calculated total energy in eV/atom: -3.545
Formation energy in eV/atom: -0.27
Density in kg/m3: 6682